Tb6Nd7Ho16: relaxed, GGA-PBE.

Calculated values
- Spin magnetization: 0.00 Bohr magnetons per cell
- Calculated total energy: -4.448 eV per atom
- V: 32.9 Å³ per atom
- Energy relative to the elements: 5.40 eV/f.u.
- Fermi-level density of states: 48.69 states/eV/cell

POSCAR file:
```
Tb6Nd7Ho16
1.0
0.000 7.817 7.817
7.817 0.000 7.817
7.817 7.817 0.000
Tb Nd Ho
6 7 16
Direct
0.225 0.225 0.775
0.225 0.775 0.225
0.225 0.775 0.775
0.775 0.225 0.225
0.775 0.225 0.775
0.775 0.775 0.225
0.000 0.000 0.000
0.000 0.000 0.500
0.000 0.500 0.000
0.000 0.500 0.500
0.500 0.000 0.000
0.500 0.000 0.500
0.500 0.500 0.000
0.150 0.150 0.150
0.150 0.150 0.551
0.150 0.551 0.150
0.161 0.613 0.613
0.387 0.387 0.387
0.387 0.387 0.839
0.387 0.839 0.387
0.449 0.850 0.850
0.551 0.150 0.150
0.613 0.161 0.613
0.613 0.613 0.161
0.613 0.613 0.613
0.839 0.387 0.387
0.850 0.449 0.850
0.850 0.850 0.449
0.850 0.850 0.850
```